# 1
Below is crystalline UBeTc2 at its relaxed geometry, with properties calculated at the GGA-PBE level.

- energy above the most stable polymorph in this dataset (kJ/mol of formula units) = 0
- energy of formation from the pure elements (kJ/mol of formula units) = -52
- V (A^3/atom) = 15.20
- total magnetization (μB/atom) = 0.000
- density (g/cm³) = 12.10

Cell lengths 4.1455, 4.1455, 3.5379 Å; angles 90.00, 90.00, 90.00 degrees
Space group P4/mmm (No. 123)
One atom of each set of equivalent atoms:
1 U 0.0000 0.0000 0.0000 x1
2 Be 0.5000 0.5000 0.0000 x1
3 Tc 0.0000 0.5000 0.5000 x2

***

# 2
Below is crystalline NaPr3Ru at its relaxed geometry, with properties calculated at the GGA-PBE level.

- energy of formation from the pure elements (kJ/mol of formula units) = 13
- V (A^3/atom) = 35.57
- total magnetization (μB/atom) = 0.000
- density (g/cm³) = 5.11

Cell lengths 5.6235, 5.6235, 5.6235 Å; angles 90.00, 90.00, 90.00 degrees
Space group Pm-3m (No. 221)
One atom of each set of equivalent atoms:
1 Na 0.0000 0.0000 0.0000 x1
2 Pr 0.0000 0.5000 0.5000 x3
3 Ru 0.5000 0.5000 0.5000 x1

***

# 3
Below is crystalline YMnTl2 at its relaxed geometry, with properties calculated at the GGA-PBE level.

- energy of formation from the pure elements (kJ/mol of formula units) = 43
- V (A^3/atom) = 24.37
- total magnetization (μB/atom) = 0.778
- density (g/cm³) = 9.41

Cell lengths 3.6812, 5.4334, 9.7459 Å; angles 90.00, 90.00, 90.00 degrees
Space group Immm (No. 71)
One atom of each set of equivalent atoms:
1 Y 0.0000 0.0000 0.0000 x2
2 Mn 0.0000 0.0000 0.5000 x2
3 Tl 0.0000 0.5000 0.2273 x4

***

# 4
Below is crystalline Sm2Ho2ZnGa4 at its relaxed geometry, with properties calculated at the GGA-PBE level.

- energy of formation from the pure elements (kJ/mol of formula units) = -229
- V (A^3/atom) = 23.93
- total magnetization (μB/atom) = 0.000
- density (g/cm³) = 7.52

Cell lengths 7.0033, 7.0033, 8.7815 Å; angles 90.00, 90.00, 90.00 degrees
Space group I4/mmm (No. 139)
One atom of each set of equivalent atoms:
1 Sm 0.0000 0.0000 0.1885 x4
2 Ho 0.0000 0.5000 0.2500 x4
3 Zn 0.0000 0.0000 0.5000 x2
4 Ga 0.2431 0.2431 0.5000 x8

***

# 5
Below is crystalline Ir2Au2N at its relaxed geometry, with properties calculated at the GGA-PBE level.

- energy above the most stable polymorph in this dataset (kJ/mol of formula units) = 638
- V (A^3/atom) = 17.56
- total magnetization (μB/atom) = 0.000
- density (g/cm³) = 14.98

Cell lengths 3.7100, 3.7100, 12.7613 Å; angles 90.00, 90.00, 90.00 degrees
Space group I4/mmm (No. 139)
One atom of each set of equivalent atoms:
1 Ir 0.0000 0.0000 0.0901 x4
2 Au 0.0000 0.5000 0.2500 x4
3 N 0.0000 0.0000 0.5000 x2

***

# 6
Below is crystalline KCdCu7Se2Cl9O8 at its relaxed geometry, with properties calculated at the GGA-PBE level.

- energy (eV per formula unit) = -114.2
- V (A^3/atom) = 19.20
- total magnetization (μB/atom) = 0.155
- density (g/cm³) = 3.71

Cell lengths 8.9114, 8.9114, 15.6317 Å; angles 90.00, 90.00, 120.00 degrees
Space group P6_3/mmc (No. 194)
One atom of each set of equivalent atoms:
1 K 0.0000 0.0000 0.2500 x2
2 Cd 0.0000 0.0000 0.0000 x2
3 Cu 0.0942 0.5471 0.0931 x12
4 Cu 0.3333 0.6667 0.2500 x2
5 Se 0.3333 0.6667 0.5987 x4
6 Cl 0.0163 0.5081 0.2500 x6
7 Cl 0.1393 0.2786 0.1004 x12
8 O 0.1359 0.5679 0.5450 x12
9 O 0.3333 0.6667 0.1270 x4

***

# 7
Below is crystalline Zr4CrBr at its relaxed geometry, with properties calculated at the GGA-PBE level.

- energy (eV per formula unit) = -41.3
- V (A^3/atom) = 23.48
- total magnetization (μB/atom) = 0.558
- density (g/cm³) = 5.85

Cell lengths 8.2602, 8.2602, 8.2602 Å; angles 90.00, 90.00, 90.00 degrees
Space group F-43m (No. 216)
One atom of each set of equivalent atoms:
1 Zr 0.1222 0.1222 0.3778 x16
2 Cr 0.2500 0.2500 0.7500 x4
3 Br 0.0000 0.0000 0.0000 x4

***

# 8
Below is crystalline Er4ScPd at its relaxed geometry, with properties calculated at the GGA-PBE level.

- energy of formation from the pure elements (kJ/mol of formula units) = -122
- V (A^3/atom) = 27.14
- total magnetization (μB/atom) = 0.000
- density (g/cm³) = 8.36

Cell lengths 8.9248, 13.2580, 5.7714 Å; angles 90.00, 107.46, 90.00 degrees
Space group C2/c (No. 15)
One atom of each set of equivalent atoms:
1 Er 0.1127 0.1786 0.0626 x8
2 Er 0.2117 0.4135 0.3512 x8
3 Sc 0.0000 0.3809 0.7500 x4
4 Pd 0.0000 0.0006 0.2500 x4

***

# 9
Below is crystalline CrCo3Cu at its relaxed geometry, with properties calculated at the GGA-PBE level.

- energy of formation from the pure elements (kJ/mol of formula units) = 596
- V (A^3/atom) = 14.24
- total magnetization (μB/atom) = 0.148
- density (g/cm³) = 6.82

Cell lengths 4.1444, 4.1444, 4.1444 Å; angles 90.00, 90.00, 90.00 degrees
Space group Pm-3m (No. 221)
One atom of each set of equivalent atoms:
1 Cr 0.0000 0.0000 0.0000 x1
2 Co 0.0000 0.0000 0.5000 x3
3 Cu 0.5000 0.5000 0.5000 x1

***

# 10
Below is crystalline La3Pm3Sm2 at its relaxed geometry, with properties calculated at the GGA-PBE level.

- energy of formation from the pure elements (kJ/mol of formula units) = 15
- V (A^3/atom) = 35.27
- total magnetization (μB/atom) = 0.000
- density (g/cm³) = 6.78

Cell lengths 6.3642, 6.3831, 8.2325 Å; angles 104.91, 104.78, 109.61 degrees
Space group P-1 (No. 2)
One atom of each set of equivalent atoms:
1 La 0.0000 0.0000 0.0000 x1
2 La 0.1251 0.6248 0.2500 x2
3 Pm 0.3744 0.8741 0.7485 x2
4 Pm 0.5000 0.5000 0.0000 x1
5 Sm 0.2506 0.2501 0.5004 x2

***

# 11
Below is crystalline Pm5Ru2Pb2 at its relaxed geometry, with properties calculated at the GGA-PBE level.

- energy of formation from the pure elements (kJ/mol of formula units) = -287
- V (A^3/atom) = 28.09
- total magnetization (μB/atom) = 0.000
- density (g/cm³) = 8.81

Cell lengths 16.3212, 8.3738, 7.3993 Å; angles 90.00, 90.00, 90.00 degrees
Space group Cmce (No. 64)
One atom of each set of equivalent atoms:
1 Pm 0.0000 0.0000 0.0000 x4
2 Pm 0.1193 0.1822 0.3381 x16
3 Ru 0.0000 0.1187 0.6191 x8
4 Pb 0.2180 0.0000 0.0000 x8

***

# 12
Below is crystalline Hf2GaH2 at its relaxed geometry, with properties calculated at the GGA-PBE level.

- energy above the most stable polymorph in this dataset (kJ/mol of formula units) = 0
- V (A^3/atom) = 12.66
- total magnetization (μB/atom) = 0.000
- density (g/cm³) = 11.25

Cell lengths 3.6686, 3.6686, 9.4053 Å; angles 90.00, 90.00, 90.00 degrees
Space group I4/mmm (No. 139)
One atom of each set of equivalent atoms:
1 Hf 0.0000 0.0000 0.1569 x4
2 Ga 0.0000 0.0000 0.5000 x2
3 H 0.0000 0.5000 0.2500 x4

***

# 13
Below is crystalline CoAs2Se at its relaxed geometry, with properties calculated at the GGA-PBE level.

- energy (eV per formula unit) = -19.9
- V (A^3/atom) = 17.87
- total magnetization (μB/atom) = 0.000
- density (g/cm³) = 6.69

Cell lengths 3.5626, 4.6910, 8.5527 Å; angles 90.00, 90.00, 90.00 degrees
Space group Amm2 (No. 38)
One atom of each set of equivalent atoms:
1 Co 0.0000 0.0000 0.0000 x2
2 As 0.0000 0.0000 0.5050 x2
3 As 0.5000 0.0000 0.8171 x2
4 Se 0.5000 0.0000 0.1883 x2

***

# 14
Below is crystalline AsH2RuRh at its relaxed geometry, with properties calculated at the GGA-PBE level.

- energy (eV per formula unit) = -26.4
- V (A^3/atom) = 11.77
- total magnetization (μB/atom) = 0.000
- density (g/cm³) = 7.93

Cell lengths 3.4563, 3.4563, 4.9263 Å; angles 90.00, 90.00, 90.00 degrees
Space group P4/mmm (No. 123)
One atom of each set of equivalent atoms:
1 As 0.0000 0.0000 0.0000 x1
2 H 0.0000 0.5000 0.5000 x2
3 Ru 0.5000 0.5000 0.0000 x1
4 Rh 0.0000 0.0000 0.5000 x1

***

# 15
Below is crystalline KZnRu2 at its relaxed geometry, with properties calculated at the GGA-PBE level.

- energy of formation from the pure elements (kJ/mol of formula units) = 260
- V (A^3/atom) = 16.86
- total magnetization (μB/atom) = 0.127
- density (g/cm³) = 7.55

Cell lengths 2.7894, 2.7894, 30.0265 Å; angles 90.00, 90.00, 120.00 degrees
Space group R-3m (No. 166, hexagonal axes)
One atom of each set of equivalent atoms:
1 K 0.0000 0.0000 0.0000 x3
2 Zn 0.0000 0.0000 0.5000 x3
3 Ru 0.0000 0.0000 0.2373 x6

***

# 16
Below is crystalline TaPt2Se at its relaxed geometry, with properties calculated at the GGA-PBE level.

- energy (eV per formula unit) = -28.2
- V (A^3/atom) = 16.80
- total magnetization (μB/atom) = 0.000
- density (g/cm³) = 16.07

Cell lengths 2.9815, 3.3966, 6.6342 Å; angles 90.00, 90.00, 90.00 degrees
Space group Pmm2 (No. 25)
One atom of each set of equivalent atoms:
1 Ta 0.0000 0.0000 0.0000 x1
2 Pt 0.0000 0.0000 0.5057 x1
3 Pt 0.5000 0.5000 0.2399 x1
4 Se 0.5000 0.5000 0.7622 x1

***

# 17
Below is crystalline AsPtPb2 at its relaxed geometry, with properties calculated at the GGA-PBE level.

- energy of formation from the pure elements (kJ/mol of formula units) = -40
- V (A^3/atom) = 26.39
- total magnetization (μB/atom) = 0.000
- density (g/cm³) = 10.76

Cell lengths 8.0513, 4.0117, 6.7834 Å; angles 90.00, 105.48, 90.00 degrees
Space group Cm (No. 8)
One atom of each set of equivalent atoms:
1 As 0.0000 0.0000 0.0000 x2
2 Pt 0.2929 0.0000 0.9355 x2
3 Pb 0.0640 0.5000 0.6760 x2
4 Pb 0.2838 0.5000 0.2773 x2

***

# 18
Below is crystalline ZnCo3Sn at its relaxed geometry, with properties calculated at the GGA-PBE level.

- energy above the most stable polymorph in this dataset (kJ/mol of formula units) = 0
- energy of formation from the pure elements (kJ/mol of formula units) = 438
- V (A^3/atom) = 16.34
- total magnetization (μB/atom) = 0.696
- density (g/cm³) = 7.33

Cell lengths 4.3395, 4.3395, 4.3395 Å; angles 90.00, 90.00, 90.00 degrees
Space group Pm-3m (No. 221)
One atom of each set of equivalent atoms:
1 Zn 0.0000 0.0000 0.0000 x1
2 Co 0.0000 0.0000 0.5000 x3
3 Sn 0.5000 0.5000 0.5000 x1

***

# 19
Below is crystalline RbCr2H2 at its relaxed geometry, with properties calculated at the GGA-PBE level.

- energy above the most stable polymorph in this dataset (kJ/mol of formula units) = 313
- V (A^3/atom) = 15.70
- total magnetization (μB/atom) = 0.000
- density (g/cm³) = 4.05

Cell lengths 4.4517, 4.4517, 7.9244 Å; angles 90.00, 90.00, 90.00 degrees
Space group I4/mmm (No. 139)
One atom of each set of equivalent atoms:
1 Rb 0.0000 0.0000 0.0000 x2
2 Cr 0.0000 0.0000 0.3900 x4
3 H 0.0000 0.5000 0.2500 x4

***

# 20
Below is crystalline AlIr2RhS at its relaxed geometry, with properties calculated at the GGA-PBE level.

- energy (eV per formula unit) = -30.7
- V (A^3/atom) = 16.89
- total magnetization (μB/atom) = 0.000
- density (g/cm³) = 10.75

Cell lengths 4.4002, 4.4002, 4.3606 Å; angles 90.00, 90.00, 90.00 degrees
Space group P4/mmm (No. 123)
One atom of each set of equivalent atoms:
1 Al 0.0000 0.0000 0.0000 x1
2 Ir 0.0000 0.5000 0.5000 x2
3 Rh 0.5000 0.5000 0.0000 x1
4 S 0.5000 0.5000 0.5000 x1

***

# 21
Below is crystalline PtS2BrN at its relaxed geometry, with properties calculated at the GGA-PBE level.

- energy above the most stable polymorph in this dataset (kJ/mol of formula units) = 467
- V (A^3/atom) = 17.55
- total magnetization (μB/atom) = 0.000
- density (g/cm³) = 6.68

Cell lengths 4.9567, 4.9567, 3.5713 Å; angles 90.00, 90.00, 90.00 degrees
Space group P4/mmm (No. 123)
One atom of each set of equivalent atoms:
1 Pt 0.0000 0.0000 0.0000 x1
2 S 0.0000 0.5000 0.5000 x2
3 Br 0.5000 0.5000 0.5000 x1
4 N 0.5000 0.5000 0.0000 x1

***

# 22
Below is crystalline LiEr6Al5 at its relaxed geometry, with properties calculated at the GGA-PBE level.

- energy of formation from the pure elements (kJ/mol of formula units) = -412
- V (A^3/atom) = 22.94
- total magnetization (μB/atom) = 0.000
- density (g/cm³) = 6.91

Cell lengths 5.0796, 15.2636, 7.1009 Å; angles 90.00, 90.00, 90.00 degrees
Space group Cmmm (No. 65)
One atom of each set of equivalent atoms:
1 Li 0.0000 0.0000 0.0000 x2
2 Er 0.0000 0.1676 0.2490 x8
3 Er 0.0000 0.5000 0.2515 x4
4 Al 0.0000 0.0000 0.5000 x2
5 Al 0.0000 0.3337 0.5000 x4
6 Al 0.0000 0.3393 0.0000 x4

***

# 23
Below is crystalline Ac3GaNi3 at its relaxed geometry, with properties calculated at the GGA-PBE level.

- energy above the most stable polymorph in this dataset (kJ/mol of formula units) = 91
- energy of formation from the pure elements (kJ/mol of formula units) = -139
- V (A^3/atom) = 28.00
- total magnetization (μB/atom) = 0.000
- density (g/cm³) = 7.85

Cell lengths 8.7876, 8.7876, 5.8615 Å; angles 90.00, 90.00, 120.00 degrees
Space group P6_3/m (No. 176)
One atom of each set of equivalent atoms:
1 Ac 0.0596 0.7012 0.2500 x6
2 Ga 0.3333 0.6667 0.7500 x2
3 Ni 0.0702 0.6841 0.7500 x6

***

# 24
Below is crystalline Zn2GeAu at its relaxed geometry, with properties calculated at the GGA-PBE level.

- energy of formation from the pure elements (kJ/mol of formula units) = 17
- V (A^3/atom) = 16.88
- total magnetization (μB/atom) = 0.000
- density (g/cm³) = 9.85

Cell lengths 4.1445, 4.1445, 3.9317 Å; angles 90.00, 90.00, 90.00 degrees
Space group P4/mmm (No. 123)
One atom of each set of equivalent atoms:
1 Zn 0.0000 0.5000 0.0000 x2
2 Ge 0.0000 0.0000 0.5000 x1
3 Au 0.5000 0.5000 0.5000 x1